Record 1
A plane-wave DFT calculation with PBE-GGA was carried out for a geometry-optimized Zr2MnReS structure. Values from VASP.

```
&SYSTEM
  ibrav = 0, nat = 5, ntyp = 4
/
ATOMIC_SPECIES
Mn 54.94 Mn.upf
S 32.06 S.upf
Zr 91.22 Zr.upf
Re 186.21 Re.upf
CELL_PARAMETERS angstrom
-0.850 -4.949 1.152
0.163 -1.025 -4.282
5.077 -0.784 0.380
ATOMIC_POSITIONS crystal
Mn 0.000 0.500 0.000
S 0.500 0.500 0.500
Zr 0.000 0.000 0.500
Re 0.000 0.000 0.000
Zr 0.500 0.000 0.000
```

Results
Raw formation energy = 699.7 meV per atom
Magnetization = 2.064 μB per formula unit
DOS at the Fermi energy = 0.62 states/eV per atom

Record 2
A plane-wave DFT calculation with PBE-GGA was carried out for a geometry-optimized MnReSb3 structure. Values from VASP.

```
&SYSTEM
  ibrav = 0, nat = 5, ntyp = 3
/
ATOMIC_SPECIES
Sb 121.76 Sb.upf
Re 186.21 Re.upf
Mn 54.94 Mn.upf
CELL_PARAMETERS angstrom
-3.215 -0.418 4.069
1.354 -4.993 0.557
3.860 1.403 3.194
ATOMIC_POSITIONS crystal
Sb 0.000 0.000 0.500
Sb 0.000 0.500 0.000
Re 0.000 0.000 0.000
Mn 0.500 0.500 0.500
Sb 0.500 0.000 0.000
```

Results
Offset from the most stable computed form = 0 meV per atom
Raw formation energy = 970.2 meV per atom
Magnetization = 4.831 μB per formula unit
DOS at the Fermi energy = 0.82 states/eV per atom

Record 3
A plane-wave DFT calculation with PBE-GGA was carried out for a geometry-optimized MnRe4Sb structure. Values from VASP.

```
&SYSTEM
  ibrav = 0, nat = 6, ntyp = 3
/
ATOMIC_SPECIES
Mn 54.94 Mn.upf
Re 186.21 Re.upf
Sb 121.76 Sb.upf
CELL_PARAMETERS angstrom
0.000 3.716 3.716
3.716 0.000 3.716
3.716 3.716 0.000
ATOMIC_POSITIONS crystal
Mn 0.000 0.000 0.000
Re 0.374 0.877 0.374
Re 0.374 0.374 0.877
Re 0.374 0.374 0.374
Sb 0.750 0.750 0.750
Re 0.877 0.374 0.374
```

Results
Raw formation energy = 646.3 meV per atom
Magnetization = 3.280 μB per formula unit
DOS at the Fermi energy = 1.04 states/eV per atom

Record 4
A plane-wave DFT calculation with PBE-GGA was carried out for a geometry-optimized MnRe3Sb structure. Values from VASP.

```
&SYSTEM
  ibrav = 0, nat = 5, ntyp = 3
/
ATOMIC_SPECIES
Re 186.21 Re.upf
Mn 54.94 Mn.upf
Sb 121.76 Sb.upf
CELL_PARAMETERS angstrom
4.772 0.000 0.000
0.000 4.772 0.000
0.000 0.000 4.772
ATOMIC_POSITIONS crystal
Re 0.000 0.000 0.500
Re 0.000 0.500 0.000
Re 0.500 0.000 0.000
Mn 0.500 0.500 0.500
Sb 0.000 0.000 0.000
```

Results
Raw formation energy = 3061.7 meV per atom
Magnetization = 0.134 μB per formula unit
DOS at the Fermi energy = 1.39 states/eV per atom

Record 5
A plane-wave DFT calculation with PBE-GGA was carried out for a geometry-optimized Mn4ReSb structure. Values from VASP.

```
&SYSTEM
  ibrav = 0, nat = 6, ntyp = 3
/
ATOMIC_SPECIES
Mn 54.94 Mn.upf
Re 186.21 Re.upf
Sb 121.76 Sb.upf
CELL_PARAMETERS angstrom
-4.758 -0.722 0.332
-2.896 3.604 1.375
-2.980 2.051 -3.191
ATOMIC_POSITIONS crystal
Mn 0.872 0.376 0.376
Re 0.750 0.750 0.750
Mn 0.376 0.376 0.872
Mn 0.376 0.376 0.376
Mn 0.376 0.872 0.376
Sb 0.000 0.000 0.000
```

Results
Raw formation energy = 283.1 meV per atom
Magnetization = 5.612 μB per formula unit
DOS at the Fermi energy = 1.41 states/eV per atom

Record 6
A plane-wave DFT calculation with PBE-GGA was carried out for a geometry-optimized MnRe2SbSe structure. Values from VASP.

```
&SYSTEM
  ibrav = 0, nat = 5, ntyp = 4
/
ATOMIC_SPECIES
Re 186.21 Re.upf
Mn 54.94 Mn.upf
Se 78.96 Se.upf
Sb 121.76 Sb.upf
CELL_PARAMETERS angstrom
-2.909 4.007 0.035
-3.785 -2.759 1.335
1.118 0.770 4.762
ATOMIC_POSITIONS crystal
Re 0.000 0.000 0.500
Mn 0.000 0.500 0.000
Se 0.500 0.500 0.500
Re 0.500 0.000 0.000
Sb 0.000 0.000 0.000
```

Results
Offset from the most stable computed form = 0 meV per atom
Raw formation energy = 2154.2 meV per atom
Magnetization = 1.744 μB per formula unit
DOS at the Fermi energy = 1.14 states/eV per atom

Record 7
A plane-wave DFT calculation with PBE-GGA was carried out for a geometry-optimized MnRe2SbSe structure. Values from VASP.

```
&SYSTEM
  ibrav = 0, nat = 5, ntyp = 4
/
ATOMIC_SPECIES
Sb 121.76 Sb.upf
Mn 54.94 Mn.upf
Re 186.21 Re.upf
Se 78.96 Se.upf
CELL_PARAMETERS angstrom
4.932 0.000 0.000
0.000 4.932 0.000
0.000 0.000 5.181
ATOMIC_POSITIONS crystal
Sb 0.000 0.000 0.000
Mn 0.500 0.500 0.500
Re 0.500 0.000 0.000
Se 0.000 0.000 0.500
Re 0.000 0.500 0.000
```

Results
Offset from the most stable computed form = 652 meV per atom
Raw formation energy = 2806.5 meV per atom
Magnetization = 4.124 μB per formula unit
DOS at the Fermi energy = 1.64 states/eV per atom

Record 8
A plane-wave DFT calculation with PBE-GGA was carried out for a geometry-optimized MnRe2SnSb structure. Values from VASP.

```
&SYSTEM
  ibrav = 0, nat = 5, ntyp = 4
/
ATOMIC_SPECIES
Sb 121.76 Sb.upf
Re 186.21 Re.upf
Mn 54.94 Mn.upf
Sn 118.71 Sn.upf
CELL_PARAMETERS angstrom
4.931 0.000 0.000
0.000 4.739 0.000
0.000 0.000 4.931
ATOMIC_POSITIONS crystal
Sb 0.000 0.000 0.000
Re 0.500 0.000 0.000
Re 0.000 0.000 0.500
Mn 0.000 0.500 0.000
Sn 0.500 0.500 0.500
```

Results
Raw formation energy = 1891.4 meV per atom
Magnetization = 2.820 μB per formula unit
DOS at the Fermi energy = 1.44 states/eV per atom